Sr2PmWO6: optimized geometry, PBE+U.

It has space group P2_1/c (No. 14), with a = 5.9020 Å, b = 6.0047 Å, c = 10.3145 Å, α = 90.00°, β = 124.74° and γ = 90.00°. The inequivalent atoms are Sr at (0.2394, 0.0420, 0.2469), Pm at (0.0000, 0.0000, 0.5000), W at (0.5000, 0.0000, 0.0000), O at (0.1734, 0.1883, 0.9549), O at (0.2734, 0.7291, 0.9515) and O at (0.3541, 0.0326, 0.7662).

The raw total energy is -7.32 eV/atom.